[1]
Crystalline LaS2F at its relaxed geometry. Source: the Alexandria database, functional PBE.

Cell and atoms, written as extended XYZ:
```
4
Lattice="2.2064 1.2739 6.7102 -2.2064 1.2739 6.7102 0.0000 -2.5478 6.7102" Properties=species:S:1:pos:R:3 pbc="T T T"
La 0.0000 0.0000 0.0000
S 0.0000 0.0000 8.0302
S 0.0000 0.0000 12.1004
F 0.0000 0.0000 10.0653
```

Calculated values
For the energy above the lowest structure with this stoichiometry, the calculation gives 28.5 kJ/mol of atoms. As for the total energy: -20.57 eV for the cell shown.

=====

[2]
Crystalline PuAlCd at its relaxed geometry. Source: the Alexandria database, functional PBE.

Cell and atoms, written as extended XYZ:
```
3
Lattice="-1.5560 1.5560 6.8013 1.5560 -1.5560 6.8013 1.5560 1.5560 -6.8013" Properties=species:S:1:pos:R:3 pbc="T T T"
Pu 0.0000 0.0000 0.0000
Al 0.0000 0.0000 9.0181
Cd 0.0000 0.0000 4.2746
```

Calculated values
As for the total energy: -19.19 eV for the cell shown. The formation energy comes out at -68 meV per atom.

=====

[3]
Crystalline LiPuGeRu at its relaxed geometry. Source: the Alexandria database, functional PBE.

Cell and atoms, written as extended XYZ:
```
4
Lattice="0.0000 3.2373 3.2373 3.2373 0.0000 3.2373 3.2373 3.2373 0.0000" Properties=species:S:1:pos:R:3 pbc="T T T"
Li 0.0000 0.0000 0.0000
Pu 1.6187 1.6187 1.6187
Ge 4.8560 4.8560 4.8560
Ru 3.2373 3.2373 3.2373
```

Calculated values
As for the total energy: -30.88 eV for the cell shown. The formation energy comes out at -186 meV per atom.

=====

[4]
Crystalline Ti2Sn2Ge at its relaxed geometry. Source: the Alexandria database, functional PBE.

Cell and atoms, written as extended XYZ:
```
10
Lattice="7.4669 0.0000 0.0000 0.0000 7.4669 0.0000 0.0000 0.0000 3.7697" Properties=species:S:1:pos:R:3 pbc="T T T"
Ti 1.1280 2.6055 0.0000
Ti 2.6055 6.3389 0.0000
Ti 4.8615 1.1280 0.0000
Ti 6.3389 4.8615 0.0000
Sn 1.0863 4.8198 1.8848
Sn 2.6472 1.0863 1.8848
Sn 4.8198 6.3807 1.8848
Sn 6.3807 2.6472 1.8848
Ge 0.0000 0.0000 1.8848
Ge 3.7335 3.7335 1.8848
```

Calculated values
For the energy above the lowest structure with this stoichiometry, the calculation gives 36.3 kJ/mol of atoms. As for the total energy: -56.00 eV for the cell shown. The formation energy comes out at 83 meV per atom.

=====

[5]
Crystalline SmZnSi2 at its relaxed geometry. Source: the Alexandria database, functional PBE.

Cell and atoms, written as extended XYZ:
```
4
Lattice="4.2799 0.0000 0.0000 0.0000 4.2799 0.0000 0.0000 0.0000 4.1212" Properties=species:S:1:pos:R:3 pbc="T T T"
Sm 0.0000 0.0000 0.0000
Zn 2.1399 2.1399 0.0000
Si 0.0000 2.1399 2.0606
Si 2.1399 0.0000 2.0606
```

Calculated values
As for the total energy: -17.89 eV for the cell shown.

=====

[6]
Crystalline TiWSN2 at its relaxed geometry. Source: the Alexandria database, functional PBE.

Cell and atoms, written as extended XYZ:
```
5
Lattice="3.8855 0.0000 0.0000 0.0000 3.8855 0.0000 0.0000 0.0000 4.8351" Properties=species:S:1:pos:R:3 pbc="T T T"
Ti 0.0000 0.0000 0.0000
W 1.9427 1.9427 2.4176
S 1.9427 1.9427 0.0000
N 0.0000 1.9427 2.4176
N 1.9427 0.0000 2.4176
```

Calculated values
For the energy above the lowest structure with this stoichiometry, the calculation gives 0.0 kJ/mol of atoms. As for the total energy: -40.94 eV for the cell shown.

=====

[7]
Crystalline Sr2CdI2 at its relaxed geometry. Source: the Alexandria database, functional PBE.

Cell and atoms, written as extended XYZ:
```
5
Lattice="-2.7365 2.7365 7.7916 2.7365 -2.7365 7.7916 2.7365 2.7365 -7.7916" Properties=species:S:1:pos:R:3 pbc="T T T"
Sr 0.0000 0.0000 1.9576
Sr 0.0000 0.0000 13.6257
Cd 0.0000 0.0000 7.7916
I 2.7365 0.0000 3.8958
I 0.0000 2.7365 3.8958
```

Calculated values
For the energy above the lowest structure with this stoichiometry, the calculation gives 0.0 kJ/mol of atoms. As for the total energy: -11.50 eV for the cell shown.

=====

[8]
Crystalline Sr4ThCd5 at its relaxed geometry. Source: the Alexandria database, functional PBE.

Cell and atoms, written as extended XYZ:
```
10
Lattice="3.9535 0.0000 0.0000 0.0000 3.9535 0.0000 0.0000 0.0000 20.5539" Properties=species:S:1:pos:R:3 pbc="T T T"
Sr 0.0000 0.0000 2.1025
Sr 0.0000 0.0000 6.2816
Sr 0.0000 0.0000 14.2724
Sr 0.0000 0.0000 18.4515
Th 0.0000 0.0000 10.2770
Cd 1.9768 1.9768 0.0000
Cd 1.9768 1.9768 4.1825
Cd 1.9768 1.9768 8.4276
Cd 1.9768 1.9768 12.1263
Cd 1.9768 1.9768 16.3714
```

Calculated values
As for the total energy: -21.36 eV for the cell shown. The formation energy comes out at -264 meV per atom.